Entry 1:
First-principles (PBE-GGA) data for a geometry-optimized KNdO3 structure, as listed in OQMD via LeMat-Bulk.

Cell lengths 5.961, 5.961, 5.961 Å; angles 67.45, 67.45, 67.45 degrees
Atoms (fractional coordinates):
K  0.000  0.000  0.000
K  0.500  0.500  0.500
Nd  0.250  0.250  0.250
Nd  0.750  0.750  0.750
O  0.750  0.413  0.087
O  0.587  0.913  0.250
O  0.087  0.750  0.413
O  0.913  0.250  0.587
O  0.413  0.087  0.750
O  0.250  0.587  0.913

## Properties
Total DFT energy (no corrections) = -5.519 eV/atom

***

Entry 2:
First-principles (PBE-GGA) data for a geometry-optimized SrTlPdPb structure, as listed in OQMD via LeMat-Bulk.

Cell lengths 4.575, 8.291, 6.167 Å; angles 90.00, 111.77, 90.00 degrees
Atoms (fractional coordinates):
Pb  0.851  0.199  0.702
Pb  0.851  0.801  0.702
Pd  0.719  0.500  0.439
Pd  0.286  0.000  0.571
Sr  0.565  0.000  0.129
Sr  0.438  0.500  0.875
Tl  0.145  0.301  0.291
Tl  0.145  0.699  0.291

## Properties
Total DFT energy (no corrections) = -3.713 eV/atom